Version a
Here is a relaxed structure of RbHf3W from Alexandria via LeMat-Bulk. Energies are from PBE.

The density of states at the Fermi level comes out at 7.17 states/eV/f.u. For the size of the total moment, the calculation gives 0.10 μB per formula unit. As for the volume: 23.1 Å³/atom.

The space group is Pm-3m (No. 221) and the conventional cell measures 4.872, 4.872 and 4.872 Å, with angles of 90.00, 90.00 and 90.00 degrees. The distinct sites, in fractional coordinates, are Rb at (0.000, 0.000, 0.000), Hf at (0.000, 0.000, 0.500) and W at (0.500, 0.500, 0.500).

Version b
Here is a relaxed structure of RbHf3W from Alexandria via LeMat-Bulk. Energies are from PBE.

The density of states at the Fermi level comes out at 10.55 states/eV/f.u. For the size of the total moment, the calculation gives 0.00 μB per formula unit. As for the volume: 29.0 Å³/atom.

The space group is Pm-3m (No. 221) and the conventional cell measures 5.255, 5.255 and 5.255 Å, with angles of 90.00, 90.00 and 90.00 degrees. The distinct sites, in fractional coordinates, are Rb at (0.000, 0.000, 0.000), Hf at (0.000, 0.500, 0.500) and W at (0.500, 0.500, 0.500).

Stability check: which of them is least stable? version a.

Version a
Here is a relaxed structure of RbHf2W from Alexandria via LeMat-Bulk. Energies are from PBE.

The density of states at the Fermi level comes out at 6.07 states/eV/f.u. For the size of the total moment, the calculation gives 0.00 μB per formula unit. As for the volume: 22.2 Å³/atom.

The space group is Fm-3m (No. 225) and the conventional cell measures 7.084, 7.084 and 7.084 Å, with angles of 90.00, 90.00 and 90.00 degrees. The distinct sites, in fractional coordinates, are Rb at (0.000, 0.000, 0.000), Hf at (0.250, 0.250, 0.250) and W at (0.000, 0.000, 0.500).

Version b
Here is a relaxed structure of RbHf2W from Alexandria via LeMat-Bulk. Energies are from PBE.

The density of states at the Fermi level comes out at 2.99 states/eV/f.u. For the size of the total moment, the calculation gives 0.00 μB per formula unit. As for the volume: 44.7 Å³/atom.

The space group is I4_1/amd (No. 141, origin choice 2) and the conventional cell measures 7.534, 7.534 and 12.595 Å, with angles of 90.00, 90.00 and 90.00 degrees. The distinct sites, in fractional coordinates, are Rb at (0.000, 0.250, 0.375), Hf at (0.000, 0.000, 0.000) and W at (0.000, 0.250, 0.875).

Stability check: which of them is least stable? version b.

Version a
Here is a relaxed structure of Rb3YHf from Alexandria via LeMat-Bulk. Energies are from PBE.

The density of states at the Fermi level comes out at 7.98 states/eV/f.u. For the size of the total moment, the calculation gives 6.00 μB per formula unit. As for the volume: 65.9 Å³/atom.

The space group is Pm-3m (No. 221) and the conventional cell measures 6.906, 6.906 and 6.906 Å, with angles of 90.00, 90.00 and 90.00 degrees. The distinct sites, in fractional coordinates, are Rb at (0.000, 0.000, 0.500), Y at (0.500, 0.500, 0.500) and Hf at (0.000, 0.000, 0.000).

Version b
Here is a relaxed structure of Rb3YHf from Alexandria via LeMat-Bulk. Energies are from PBE.

The density of states at the Fermi level comes out at 7.27 states/eV/f.u. For the size of the total moment, the calculation gives 6.00 μB per formula unit. As for the volume: 69.6 Å³/atom.

The space group is Pm-3m (No. 221) and the conventional cell measures 7.035, 7.035 and 7.035 Å, with angles of 90.00, 90.00 and 90.00 degrees. The distinct sites, in fractional coordinates, are Rb at (0.000, 0.000, 0.500), Y at (0.000, 0.000, 0.000) and Hf at (0.500, 0.500, 0.500).

Stability check: which of them is least stable? version b.

Version a
Here is a relaxed structure of RbHfZn3 from Alexandria via LeMat-Bulk. Energies are from PBE.

The density of states at the Fermi level comes out at 4.37 states/eV/f.u. For the size of the total moment, the calculation gives 0.63 μB per formula unit. As for the volume: 29.8 Å³/atom.

The space group is Pm-3m (No. 221) and the conventional cell measures 5.304, 5.304 and 5.304 Å, with angles of 90.00, 90.00 and 90.00 degrees. The distinct sites, in fractional coordinates, are Rb at (0.000, 0.000, 0.000), Hf at (0.500, 0.500, 0.500) and Zn at (0.000, 0.000, 0.500).

Version b
Here is a relaxed structure of RbHfZn3 from Alexandria via LeMat-Bulk. Energies are from PBE.

The density of states at the Fermi level comes out at 6.89 states/eV/f.u. For the size of the total moment, the calculation gives 0.90 μB per formula unit. As for the volume: 32.2 Å³/atom.

The space group is Pm-3m (No. 221) and the conventional cell measures 5.443, 5.443 and 5.443 Å, with angles of 90.00, 90.00 and 90.00 degrees. The distinct sites, in fractional coordinates, are Rb at (0.000, 0.000, 0.000), Hf at (0.500, 0.500, 0.500) and Zn at (0.000, 0.500, 0.500).

Stability check: which of them is least stable? version a.